(1)
A relaxed LaSb3Ir crystal, computed with PBE-GGA.

a b c (Å): 5.2521 5.2521 5.2521
angles (deg): 90.00 90.00 90.00
Sites, in units of the cell vectors:
Sb  0.5000  0.0000  0.0000
La  0.5000  0.5000  0.5000
Sb  0.0000  0.0000  0.5000
Ir  0.0000  0.0000  0.0000
Sb  0.0000  0.5000  0.0000

Symmetry: Pm-3m (221)
Magnetization (μB per formula unit): 0.00

(2)
A relaxed LaSb3Ir crystal, computed with PBE-GGA.

a b c (Å): 6.4494 6.1597 6.6699
angles (deg): 90.05 89.99 90.01
Sites, in units of the cell vectors:
Sb  0.4710  0.8394  0.9539
Sb  0.8714  0.0877  0.7000
Sb  0.4712  0.8395  0.4480
Sb  0.9711  0.5133  0.4536
Sb  0.9709  0.5133  0.9477
La  0.4081  0.3020  0.7016
Ir  0.6567  0.5659  0.2007
Ir  0.1568  0.7869  0.7010
La  0.9078  0.0509  0.1998
Sb  0.3713  0.2650  0.2014

Symmetry: P2_1 (4)
Magnetization (μB per formula unit): 0.00

Which one sits at the top of the stability order? (2) does.

(1)
A relaxed LaSb2TeIr crystal, computed with PBE-GGA.

a b c (Å): 6.0435 6.0435 5.9412
angles (deg): 90.00 90.00 90.00
Sites, in units of the cell vectors:
Sb  0.5000  0.0000  0.0000
Te  0.0000  0.0000  0.5000
Sb  0.0000  0.5000  0.0000
Ir  0.5000  0.5000  0.5000
La  0.0000  0.0000  0.0000

Symmetry: P4/mmm (123)
Magnetization (μB per formula unit): 2.03

(2)
A relaxed LaSb2TeIr crystal, computed with PBE-GGA.

a b c (Å): 5.7344 4.8332 5.7344
angles (deg): 90.00 90.00 90.00
Sites, in units of the cell vectors:
Sb  0.5000  0.0000  0.0000
Ir  0.0000  0.5000  0.0000
Sb  0.0000  0.0000  0.5000
Te  0.0000  0.0000  0.0000
La  0.5000  0.5000  0.5000

Symmetry: P4/mmm (123)
Magnetization (μB per formula unit): 0.00

Which one sits at the top of the stability order? (2) does.

(1)
A relaxed LaScIr crystal, computed with PBE-GGA.

a b c (Å): 4.1371 4.1371 5.7403
angles (deg): 90.00 90.00 120.00
Sites, in units of the cell vectors:
La  0.6667  0.3333  0.2508
Ir  0.0000  0.0000  0.9698
Sc  0.3333  0.6667  0.7794

Symmetry: P3m1 (156)
Magnetization (μB per formula unit): 0.00

(2)
A relaxed LaScIr crystal, computed with PBE-GGA.

a b c (Å): 4.5996 4.5992 6.8047
angles (deg): 89.84 89.84 90.00
Sites, in units of the cell vectors:
Sc  0.3133  0.8668  0.9196
La  0.3140  0.3668  0.2894
Ir  0.3152  0.3682  0.6951
La  0.8133  0.8661  0.5498
Sc  0.8138  0.3662  0.9196
Ir  0.8119  0.8647  0.1442

Symmetry: C2/m (12)
Magnetization (μB per formula unit): 0.00

Which one sits at the top of the stability order? (2) does.

(1)
A relaxed LaScIr crystal, computed with PBE-GGA.

a b c (Å): 6.9782 6.9782 3.3177
angles (deg): 76.25 76.25 27.50
Sites, in units of the cell vectors:
La  0.3590  0.3590  0.6410
Sc  0.6236  0.6236  0.3764
Ir  0.0174  0.0174  0.9826

Symmetry: I4mm (107)
Magnetization (μB per formula unit): 0.00

(2)
A relaxed LaScIr crystal, computed with PBE-GGA.

a b c (Å): 4.7914 4.7914 4.7914
angles (deg): 60.00 60.00 60.00
Sites, in units of the cell vectors:
Sc  0.5000  0.5000  0.5000
Ir  0.7500  0.7500  0.7500
La  0.0000  0.0000  0.0000

Symmetry: F-43m (216)
Magnetization (μB per formula unit): 0.00

Which one sits at the top of the stability order? (2) does.

(1)
A relaxed LaIrSe2 crystal, computed with PBE-GGA.

a b c (Å): 5.8322 5.8322 5.8322
angles (deg): 44.05 44.05 44.05
Sites, in units of the cell vectors:
Se  0.9757  0.9757  0.9757
La  0.7500  0.7500  0.7500
Se  0.5243  0.5243  0.5243
Ir  0.2500  0.2500  0.2500

Symmetry: R-3m (166)
Magnetization (μB per formula unit): 0.00

(2)
A relaxed LaIrSe2 crystal, computed with PBE-GGA.

a b c (Å): 5.1597 4.7848 5.1634
angles (deg): 71.28 66.09 108.69
Sites, in units of the cell vectors:
Ir  0.0000  0.5000  0.5000
La  0.5000  0.5000  0.0000
Se  0.5000  0.0000  0.5000
Se  0.0000  0.0000  0.0000

Symmetry: Fmmm (69)
Magnetization (μB per formula unit): 0.00

(3)
A relaxed LaIrSe2 crystal, computed with PBE-GGA.

a b c (Å): 5.7435 5.7435 5.1596
angles (deg): 63.34 63.34 39.19
Sites, in units of the cell vectors:
Ir  0.7500  0.7500  0.7500
Se  0.4213  0.4213  0.5790
Se  0.0787  0.0787  0.9210
La  0.2500  0.2500  0.2500

Symmetry: Immm (71)
Magnetization (μB per formula unit): 0.00

Which one sits at the top of the stability order? (3) does.

(1)
A relaxed La2IrSe crystal, computed with PBE-GGA.

a b c (Å): 4.2014 4.2014 7.6966
angles (deg): 74.21 74.21 59.97
Sites, in units of the cell vectors:
Se  0.7500  0.7500  0.7500
Ir  0.2500  0.2500  0.2500
La  0.9914  0.9914  0.0248
La  0.5086  0.5086  0.4752

Symmetry: R-3m (166)
Magnetization (μB per formula unit): 0.00

(2)
A relaxed La2IrSe crystal, computed with PBE-GGA.

a b c (Å): 6.1659 6.1659 4.5159
angles (deg): 90.00 90.00 38.09
Sites, in units of the cell vectors:
Ir  0.2514  0.2514  0.1250
Se  0.4794  0.4794  0.6250
La  0.0192  0.0192  0.1250
La  0.7500  0.7500  0.6249

Symmetry: Amm2 (38)
Magnetization (μB per formula unit): 0.00

(3)
A relaxed La2IrSe crystal, computed with PBE-GGA.

a b c (Å): 5.3000 5.3000 5.3000
angles (deg): 128.59 111.83 90.25
Sites, in units of the cell vectors:
La  0.4863  0.4863  0.0000
Ir  0.2500  0.7500  0.5000
La  0.0137  0.0137  0.0000
Se  0.7500  0.2500  0.5000

Symmetry: Immm (71)
Magnetization (μB per formula unit): 0.00

(4)
A relaxed La2IrSe crystal, computed with PBE-GGA.

a b c (Å): 7.5173 7.5173 7.5173
angles (deg): 33.90 33.90 33.90
Sites, in units of the cell vectors:
La  0.0374  0.0374  0.0374
Se  0.4626  0.4626  0.4626
La  0.2121  0.2121  0.2121
Ir  0.7878  0.7878  0.7878

Symmetry: R3m (160)
Magnetization (μB per formula unit): 0.68

Which one sits at the top of the stability order? (1) does.

(1)
A relaxed La2Ir2Se crystal, computed with PBE-GGA.

a b c (Å): 5.5737 5.5737 5.6026
angles (deg): 60.17 60.17 90.00
Sites, in units of the cell vectors:
Ir  0.6595  0.6595  0.6810
La  0.7500  0.2500  0.5000
La  0.2500  0.7500  0.5000
Ir  0.3405  0.3405  0.3190
Se  0.0000  0.0000  0.0000

Symmetry: I4/mmm (139)
Magnetization (μB per formula unit): 0.00

(2)
A relaxed La2Ir2Se crystal, computed with PBE-GGA.

a b c (Å): 7.6799 7.6799 3.9264
angles (deg): 90.00 90.00 90.00
Sites, in units of the cell vectors:
La  0.6823  0.8177  0.5000
La  0.3177  0.1823  0.5000
La  0.8177  0.3177  0.5000
Ir  0.1222  0.3778  0.0000
Se  0.0000  0.0000  0.0000
Se  0.5000  0.5000  0.0000
Ir  0.6222  0.1222  0.0000
Ir  0.8778  0.6222  0.0000
Ir  0.3778  0.8778  0.0000
La  0.1823  0.6823  0.5000

Symmetry: P4/mbm (127)
Magnetization (μB per formula unit): 0.00

Which one sits at the top of the stability order? (1) does.

(1)
A relaxed LaIrSe crystal, computed with PBE-GGA.

a b c (Å): 4.6709 4.6709 4.6709
angles (deg): 60.00 60.00 60.00
Sites, in units of the cell vectors:
Se  0.5000  0.5000  0.5000
Ir  0.7500  0.7500  0.7500
La  0.0000  0.0000  0.0000

Symmetry: F-43m (216)
Magnetization (μB per formula unit): 0.00

(2)
A relaxed LaIrSe crystal, computed with PBE-GGA.

a b c (Å): 5.7454 5.7454 5.7454
angles (deg): 143.63 143.63 52.38
Sites, in units of the cell vectors:
La  0.3432  0.3432  0.0000
Se  0.6242  0.6242  0.0000
Ir  0.0325  0.0325  0.0000

Symmetry: I4mm (107)
Magnetization (μB per formula unit): 0.00

(3)
A relaxed LaIrSe crystal, computed with PBE-GGA.

a b c (Å): 5.8733 5.6095 3.6998
angles (deg): 75.12 67.38 37.50
Sites, in units of the cell vectors:
La  0.3422  0.3422  0.6578
Ir  0.0281  0.0281  0.9719
Se  0.6297  0.6297  0.3703

Symmetry: Fmm2 (42)
Magnetization (μB per formula unit): 0.00

(4)
A relaxed LaIrSe crystal, computed with PBE-GGA.

a b c (Å): 4.3809 4.3809 3.9644
angles (deg): 90.00 90.00 120.00
Sites, in units of the cell vectors:
Se  0.3333  0.6667  0.8124
Ir  0.0000  0.0000  0.8604
La  0.6667  0.3333  0.3271

Symmetry: P3m1 (156)
Magnetization (μB per formula unit): 0.00

Which one sits at the top of the stability order? (4) does.

(1)
A relaxed LaIrSe crystal, computed with PBE-GGA.

a b c (Å): 3.8671 3.9604 10.7819
angles (deg): 90.00 90.00 119.22
Sites, in units of the cell vectors:
Se  0.2843  0.5686  0.8659
Ir  0.5799  0.1599  0.0000
La  0.6158  0.2317  0.3284
Ir  0.2864  0.5728  0.5000
Se  0.2843  0.5686  0.1341
La  0.6158  0.2317  0.6716

Symmetry: Amm2 (38)
Magnetization (μB per formula unit): 0.00

(2)
A relaxed LaIrSe crystal, computed with PBE-GGA.

a b c (Å): 4.8736 4.8736 4.8736
angles (deg): 60.00 60.00 60.00
Sites, in units of the cell vectors:
Ir  0.5000  0.5000  0.5000
Se  0.0000  0.0000  0.0000
La  0.7500  0.7500  0.7500

Symmetry: F-43m (216)
Magnetization (μB per formula unit): 0.00

Which one sits at the top of the stability order? (1) does.

(1)
A relaxed LaIr3Se crystal, computed with PBE-GGA.

a b c (Å): 4.7055 4.7055 4.7055
angles (deg): 90.00 90.00 90.00
Sites, in units of the cell vectors:
Ir  0.0000  0.5000  0.0000
Se  0.0000  0.0000  0.0000
Ir  0.5000  0.0000  0.0000
Ir  0.0000  0.0000  0.5000
La  0.5000  0.5000  0.5000

Symmetry: Pm-3m (221)
Magnetization (μB per formula unit): 0.00

(2)
A relaxed LaIr3Se crystal, computed with PBE-GGA.

a b c (Å): 4.9828 4.9828 4.9828
angles (deg): 90.00 90.00 90.00
Sites, in units of the cell vectors:
Ir  0.5000  0.0000  0.0000
Se  0.5000  0.5000  0.5000
Ir  0.0000  0.5000  0.0000
La  0.0000  0.0000  0.0000
Ir  0.0000  0.0000  0.5000

Symmetry: Pm-3m (221)
Magnetization (μB per formula unit): 1.17

Which one sits at the top of the stability order? (1) does.

(1)
A relaxed La2TaIrSe crystal, computed with PBE-GGA.

a b c (Å): 5.5478 5.5478 4.6731
angles (deg): 90.00 90.00 90.00
Sites, in units of the cell vectors:
Ta  0.0000  0.0000  0.5000
Se  0.0000  0.0000  0.0000
La  0.5000  0.0000  0.0000
La  0.0000  0.5000  0.0000
Ir  0.5000  0.5000  0.5000

Symmetry: P4/mmm (123)
Magnetization (μB per formula unit): 0.69

(2)
A relaxed La2TaIrSe crystal, computed with PBE-GGA.

a b c (Å): 5.7299 4.6418 5.7299
angles (deg): 90.00 90.00 90.00
Sites, in units of the cell vectors:
Se  0.5000  0.5000  0.5000
Ta  0.0000  0.0000  0.0000
Ir  0.0000  0.5000  0.0000
La  0.0000  0.0000  0.5000
La  0.5000  0.0000  0.0000

Symmetry: P4/mmm (123)
Magnetization (μB per formula unit): 0.00

Which one sits at the top of the stability order? (2) does.

(1)
A relaxed LaSi3Ir3 crystal, computed with PBE-GGA.

a b c (Å): 6.7468 6.7468 8.1760
angles (deg): 65.63 65.63 60.00
Sites, in units of the cell vectors:
Si  0.1353  0.5821  0.3353
Ir  0.5424  0.3056  0.3403
Si  0.5821  0.9473  0.3353
Ir  0.6944  0.1883  0.6597
Si  0.9473  0.1353  0.3353
La  0.6735  0.6735  0.9794
La  0.3265  0.3265  0.0206
Ir  0.8117  0.5424  0.3403
Si  0.0527  0.8647  0.6647
Ir  0.4576  0.6944  0.6597
Ir  0.1883  0.4576  0.6597
Si  0.4179  0.0527  0.6647
Ir  0.3056  0.8117  0.3403
Si  0.8647  0.4179  0.6647

Symmetry: R-3 (148)
Magnetization (μB per formula unit): 0.00

(2)
A relaxed LaSi3Ir3 crystal, computed with PBE-GGA.

a b c (Å): 6.5796 6.5796 6.5796
angles (deg): 90.00 90.00 90.00
Sites, in units of the cell vectors:
Si  0.2500  0.5000  0.0000
Si  0.0000  0.7500  0.5000
Ir  0.7500  0.0000  0.5000
Si  0.5000  0.0000  0.2500
La  0.0000  0.0000  0.0000
Ir  0.5000  0.7500  0.0000
Si  0.7500  0.5000  0.0000
Si  0.5000  0.0000  0.7500
La  0.5000  0.5000  0.5000
Ir  0.0000  0.5000  0.2500
Si  0.0000  0.2500  0.5000
Ir  0.2500  0.0000  0.5000
Ir  0.0000  0.5000  0.7500
Ir  0.5000  0.2500  0.0000

Symmetry: Pm-3n (223)
Magnetization (μB per formula unit): 0.00

Which one sits at the top of the stability order? (1) does.